A plane-wave DFT calculation with PBE was carried out for a relaxed Tb3Ge3Pt crystal.

The structure in POSCAR format:
```
Tb3Ge3Pt
1.0
5.324 -2.167 0.000
5.324 2.167 0.000
-4.791 0.000 13.218
Tb Ge Pt
6 6 2
direct
0.033 0.033 0.379
0.101 0.101 0.924
0.243 0.243 0.228
0.757 0.757 0.772
0.899 0.899 0.076
0.967 0.967 0.621
0.366 0.366 0.462
0.379 0.379 0.926
0.469 0.469 0.771
0.531 0.531 0.229
0.621 0.621 0.074
0.634 0.634 0.538
0.250 0.250 0.612
0.750 0.750 0.388
```

- ρ: 9.688 g/cm³
- E_form: -984 meV per atom
- Volume: 21.79 Å³ per atom
- VASP energy: -81.34 eV/cell
- Space group: C2/m


A plane-wave DFT calculation with PBE was carried out for a relaxed Tb2Ge2Pt3 crystal.

The structure in POSCAR format:
```
Tb2Ge2Pt3
1.0
5.198 -1.985 0.000
5.198 1.985 0.000
-2.896 0.000 6.468
Tb Ge Pt
2 2 3
direct
0.128 0.128 0.264
0.872 0.872 0.736
0.157 0.157 0.717
0.843 0.843 0.283
0.382 0.382 0.063
0.500 0.500 0.500
0.618 0.618 0.937
```

- ρ: 13.045 g/cm³
- E_form: -1012 meV per atom
- Volume: 19.06 Å³ per atom
- VASP energy: -43.70 eV/cell
- Space group: C2/m


A plane-wave DFT calculation with PBE was carried out for a relaxed Tb3Ge6Pt20 crystal.

The structure in POSCAR format:
```
Tb3Ge6Pt20
1.0
0.000 6.291 6.291
6.291 0.000 6.291
6.291 6.291 0.000
Tb Ge Pt
3 6 20
direct
0.000 0.000 0.000
0.250 0.250 0.250
0.750 0.750 0.750
0.269 0.269 0.731
0.269 0.731 0.269
0.269 0.731 0.731
0.731 0.269 0.269
0.731 0.269 0.731
0.731 0.731 0.269
0.000 0.000 0.347
0.000 0.000 0.653
0.000 0.347 0.000
0.000 0.347 0.653
0.000 0.653 0.000
0.000 0.653 0.347
0.143 0.619 0.619
0.347 0.000 0.000
0.347 0.000 0.653
0.347 0.653 0.000
0.381 0.381 0.381
0.381 0.381 0.857
0.381 0.857 0.381
0.619 0.143 0.619
0.619 0.619 0.143
0.619 0.619 0.619
0.653 0.000 0.000
0.653 0.000 0.347
0.653 0.347 0.000
0.857 0.381 0.381
```

- ρ: 16.054 g/cm³
- E_form: -582 meV per atom
- Volume: 17.17 Å³ per atom
- VASP energy: -179.30 eV/cell
- Space group: Fm-3m


A plane-wave DFT calculation with PBE was carried out for a relaxed TbGe3Pt3 crystal.

The structure in POSCAR format:
```
TbGe3Pt3
1.0
6.808 0.000 0.000
0.000 6.808 0.000
0.000 0.000 6.808
Tb Ge Pt
2 6 6
direct
0.000 0.000 0.000
0.500 0.500 0.500
0.000 0.250 0.500
0.000 0.750 0.500
0.250 0.500 0.000
0.500 0.000 0.250
0.500 0.000 0.750
0.750 0.500 0.000
0.000 0.500 0.250
0.000 0.500 0.750
0.250 0.000 0.500
0.500 0.250 0.000
0.500 0.750 0.000
0.750 0.000 0.500
```

- ρ: 10.127 g/cm³
- E_form: -353 meV per atom
- Volume: 22.54 Å³ per atom
- VASP energy: -78.15 eV/cell
- Space group: Pm-3n


A plane-wave DFT calculation with PBE was carried out for a relaxed Tb3Ge2Pt7 crystal.

The structure in POSCAR format:
```
Tb3Ge2Pt7
1.0
-2.023 2.023 13.856
2.023 -2.023 13.856
2.023 2.023 -13.856
Tb Ge Pt
3 2 7
direct
0.000 0.000 0.000
0.176 0.176 0.000
0.824 0.824 0.000
0.369 0.369 0.000
0.631 0.631 0.000
0.079 0.579 0.500
0.280 0.280 0.000
0.421 0.921 0.500
0.500 0.500 0.000
0.579 0.079 0.500
0.720 0.720 0.000
0.921 0.421 0.500
```

- Energy above the lowest structure with this stoichiometry: 0.000 eV per atom
- ρ: 14.553 g/cm³
- E_form: -970 meV per atom
- Volume: 18.90 Å³ per atom
- VASP energy: -77.05 eV/cell
- Space group: I4/mmm


A plane-wave DFT calculation with PBE was carried out for a relaxed Tb2GePt9 crystal.

The structure in POSCAR format:
```
Tb2GePt9
1.0
4.097 0.000 0.000
0.000 4.097 0.000
0.000 0.000 12.137
Tb Ge Pt
2 1 9
direct
0.000 0.000 0.169
0.000 0.000 0.831
0.000 0.000 0.500
0.000 0.500 0.000
0.000 0.500 0.345
0.000 0.500 0.655
0.500 0.000 0.000
0.500 0.000 0.345
0.500 0.000 0.655
0.500 0.500 0.174
0.500 0.500 0.500
0.500 0.500 0.826
```

- ρ: 17.495 g/cm³
- E_form: -754 meV per atom
- Volume: 16.98 Å³ per atom
- VASP energy: -77.30 eV/cell
- Space group: P4/mmm


A plane-wave DFT calculation with PBE was carried out for a relaxed Tb4GePt3 crystal.

The structure in POSCAR format:
```
Tb4GePt3
1.0
3.906 0.000 0.000
0.000 4.352 0.000
0.000 0.000 10.746
Tb Ge Pt
4 1 3
direct
0.000 0.000 0.000
0.000 0.500 0.275
0.500 0.000 0.493
0.500 0.500 0.774
0.000 0.000 0.718
0.000 0.500 0.552
0.500 0.000 0.222
0.500 0.500 0.045
```

- ρ: 11.760 g/cm³
- E_form: -1160 meV per atom
- Volume: 22.83 Å³ per atom
- VASP energy: -50.54 eV/cell
- Space group: Pmm2


A plane-wave DFT calculation with PBE was carried out for a relaxed TbGe2Pt7 crystal.

The structure in POSCAR format:
```
TbGe2Pt7
1.0
-2.049 2.049 10.301
2.049 -2.049 10.301
2.049 2.049 -10.301
Tb Ge Pt
1 2 7
direct
0.000 0.000 0.000
0.325 0.325 0.000
0.675 0.675 0.000
0.103 0.603 0.500
0.250 0.750 0.500
0.397 0.897 0.500
0.500 0.500 0.000
0.603 0.103 0.500
0.750 0.250 0.500
0.897 0.397 0.500
```

- Energy above the lowest structure with this stoichiometry: 0.000 eV per atom
- ρ: 16.026 g/cm³
- E_form: -675 meV per atom
- Volume: 17.30 Å³ per atom
- VASP energy: -62.90 eV/cell
- Space group: I4/mmm


A plane-wave DFT calculation with PBE was carried out for a relaxed Tb2TcGe4Pt3 crystal.

The structure in POSCAR format:
```
Tb2TcGe4Pt3
1.0
4.238 0.000 0.000
0.000 4.238 0.000
0.000 0.000 10.423
Tb Tc Ge Pt
2 1 4 3
direct
0.000 0.500 0.249
0.500 0.000 0.751
0.500 0.500 0.000
0.000 0.000 0.500
0.000 0.500 0.871
0.500 0.000 0.129
0.500 0.500 0.500
0.000 0.000 0.000
0.000 0.500 0.635
0.500 0.000 0.365
```

- ρ: 11.458 g/cm³
- E_form: -810 meV per atom
- Volume: 18.72 Å³ per atom
- VASP energy: -64.32 eV/cell
- Space group: P-4m2


A plane-wave DFT calculation with PBE was carried out for a relaxed Tb8Ge3Te4Pt crystal.

The structure in POSCAR format:
```
Tb8Ge3Te4Pt
1.0
4.241 2.449 7.141
-4.241 2.449 7.141
0.000 -4.897 7.141
Tb Ge Te Pt
8 3 4 1
direct
0.239 0.740 0.740
0.241 0.241 0.241
0.260 0.260 0.761
0.260 0.761 0.260
0.740 0.239 0.740
0.740 0.740 0.239
0.759 0.759 0.759
0.761 0.260 0.260
0.000 0.000 0.500
0.000 0.500 0.000
0.500 0.000 0.000
0.000 0.000 0.000
0.000 0.500 0.500
0.500 0.000 0.500
0.500 0.500 0.000
0.500 0.500 0.500
```

- Formation energy from raw total energies: -1.1954 eV per atom
- ρ: 8.191 g/cm³
- Volume: 27.81 Å³ per atom
- VASP energy: -88.63 eV/cell
- Space group: R-3m


A plane-wave DFT calculation with PBE was carried out for a relaxed Tb8GeTe4Pt3 crystal.

The structure in POSCAR format:
```
Tb8GeTe4Pt3
1.0
4.175 2.410 7.327
-4.175 2.410 7.327
0.000 -4.820 7.327
Tb Ge Te Pt
8 1 4 3
direct
0.235 0.741 0.741
0.238 0.238 0.238
0.259 0.259 0.765
0.259 0.765 0.259
0.741 0.235 0.741
0.741 0.741 0.235
0.762 0.762 0.762
0.765 0.259 0.259
0.500 0.500 0.500
0.000 0.000 0.000
0.000 0.500 0.500
0.500 0.000 0.500
0.500 0.500 0.000
0.000 0.000 0.500
0.000 0.500 0.000
0.500 0.000 0.000
```

- Formation energy from raw total energies: -1.2303 eV per atom
- ρ: 9.159 g/cm³
- Volume: 27.65 Å³ per atom
- VASP energy: -92.03 eV/cell
- Space group: R-3m


A plane-wave DFT calculation with PBE was carried out for a relaxed Tb6GeTe3Pt2 crystal.

The structure in POSCAR format:
```
Tb6GeTe3Pt2
1.0
3.620 -6.286 0.000
3.620 6.286 0.000
-2.449 0.000 7.297
Tb Ge Te Pt
6 1 3 2
direct
0.090 0.428 0.782
0.234 0.234 0.217
0.428 0.090 0.782
0.572 0.910 0.218
0.766 0.766 0.783
0.910 0.572 0.218
0.500 0.500 0.000
0.000 0.000 0.500
0.336 0.664 0.500
0.664 0.336 0.500
0.167 0.833 0.000
0.833 0.167 0.000
```

- Formation energy from raw total energies: -1.2167 eV per atom
- ρ: 8.997 g/cm³
- Volume: 27.67 Å³ per atom
- VASP energy: -68.51 eV/cell
- Space group: C2/m


A plane-wave DFT calculation with PBE was carried out for a relaxed TbThGePt crystal.

The structure in POSCAR format:
```
TbThGePt
1.0
4.454 0.000 0.000
0.000 4.454 0.000
0.000 0.000 10.738
Tb Th Ge Pt
2 2 2 2
direct
0.250 0.750 0.000
0.750 0.250 0.000
0.250 0.250 0.341
0.750 0.750 0.659
0.250 0.250 0.608
0.750 0.750 0.392
0.250 0.250 0.836
0.750 0.750 0.164
```

- ρ: 10.271 g/cm³
- E_form: -649 meV per atom
- Volume: 26.62 Å³ per atom
- VASP energy: -50.61 eV/cell
- Space group: P4/nmm


A plane-wave DFT calculation with PBE was carried out for a relaxed Tb2TiGe3Pt4 crystal.

The structure in POSCAR format:
```
Tb2TiGe3Pt4
1.0
4.121 0.000 0.000
0.000 4.121 0.000
0.000 0.000 11.067
Tb Ti Ge Pt
2 1 3 4
direct
0.000 0.500 0.234
0.500 0.000 0.766
0.000 0.000 0.500
0.000 0.500 0.861
0.500 0.000 0.139
0.500 0.500 0.500
0.000 0.000 0.000
0.000 0.500 0.640
0.500 0.000 0.360
0.500 0.500 0.000
```

- ρ: 12.051 g/cm³
- E_form: -940 meV per atom
- Volume: 18.79 Å³ per atom
- VASP energy: -64.57 eV/cell
- Space group: P-4m2


A plane-wave DFT calculation with PBE was carried out for a relaxed Tb2TiGe4Pt3 crystal.

The structure in POSCAR format:
```
Tb2TiGe4Pt3
1.0
4.149 0.000 0.000
0.000 4.149 0.000
0.000 0.000 11.038
Tb Ti Ge Pt
2 1 4 3
direct
0.000 0.500 0.249
0.500 0.000 0.751
0.000 0.000 0.500
0.000 0.000 0.000
0.000 0.500 0.641
0.500 0.000 0.359
0.500 0.500 0.000
0.000 0.500 0.866
0.500 0.000 0.134
0.500 0.500 0.500
```

- ρ: 10.852 g/cm³
- E_form: -879 meV per atom
- Volume: 19.00 Å³ per atom
- VASP energy: -62.53 eV/cell
- Space group: P-4m2


A plane-wave DFT calculation with PBE was carried out for a relaxed TbTl2Ge2Pt7 crystal.

The structure in POSCAR format:
```
TbTl2Ge2Pt7
1.0
2.868 -2.870 0.000
2.868 2.870 0.000
-1.584 0.000 14.520
Tb Tl Ge Pt
1 2 2 7
direct
0.000 0.000 0.000
0.098 0.098 0.399
0.902 0.902 0.601
0.432 0.432 0.751
0.568 0.568 0.249
0.041 0.540 0.149
0.400 0.400 0.584
0.460 0.959 0.851
0.500 0.500 0.000
0.540 0.041 0.149
0.600 0.600 0.416
0.959 0.460 0.851
```

- ρ: 14.438 g/cm³
- E_form: -510 meV per atom
- Volume: 19.92 Å³ per atom
- VASP energy: -67.01 eV/cell
- Space group: C2/m


A plane-wave DFT calculation with PBE was carried out for a relaxed Tb2UGe3Pt4 crystal.

The structure in POSCAR format:
```
Tb2UGe3Pt4
1.0
4.260 0.000 0.000
0.000 4.260 0.000
0.000 0.000 11.218
Tb U Ge Pt
2 1 3 4
direct
0.000 0.500 0.220
0.500 0.000 0.780
0.000 0.000 0.500
0.000 0.500 0.874
0.500 0.000 0.126
0.500 0.500 0.500
0.000 0.000 0.000
0.000 0.500 0.657
0.500 0.000 0.343
0.500 0.500 0.000
```

- ρ: 12.675 g/cm³
- E_form: -793 meV per atom
- Volume: 20.36 Å³ per atom
- VASP energy: -66.49 eV/cell
- Space group: P-4m2


A plane-wave DFT calculation with PBE was carried out for a relaxed TbY2Ge2Pt7 crystal.

The structure in POSCAR format:
```
TbY2Ge2Pt7
1.0
2.890 -2.859 0.000
2.890 2.859 0.000
-2.281 0.000 13.890
Tb Y Ge Pt
1 2 2 7
direct
0.000 0.000 0.000
0.125 0.125 0.358
0.875 0.875 0.642
0.397 0.397 0.741
0.603 0.603 0.259
0.063 0.563 0.156
0.362 0.362 0.567
0.437 0.937 0.844
0.500 0.500 0.000
0.563 0.063 0.156
0.638 0.638 0.433
0.937 0.437 0.844
```

- ρ: 13.364 g/cm³
- E_form: -983 meV per atom
- Volume: 19.13 Å³ per atom
- VASP energy: -80.88 eV/cell
- Space group: C2/m


A plane-wave DFT calculation with PBE was carried out for a relaxed TbYGePt crystal.

The structure in POSCAR format:
```
TbYGePt
1.0
4.292 0.000 0.000
0.000 1.969 5.441
0.000 -1.969 5.441
Tb Y Ge Pt
1 1 1 1
direct
0.000 0.000 0.000
0.500 0.721 0.721
0.500 0.441 0.441
0.000 0.276 0.276
```

- Energy above the lowest structure with this stoichiometry: 0.000 eV per atom
- ρ: 9.309 g/cm³
- E_form: -1076 meV per atom
- Volume: 22.99 Å³ per atom
- VASP energy: -26.06 eV/cell
- Space group: Amm2


A plane-wave DFT calculation with PBE was carried out for a relaxed TbYGe2Pt5 crystal.

The structure in POSCAR format:
```
TbYGe2Pt5
1.0
4.251 0.000 0.000
0.000 4.251 0.000
0.000 0.000 9.083
Tb Y Ge Pt
1 1 2 5
direct
0.000 0.000 0.000
0.000 0.000 0.500
0.500 0.500 0.134
0.500 0.500 0.866
0.000 0.500 0.274
0.000 0.500 0.726
0.500 0.000 0.274
0.500 0.000 0.726
0.500 0.500 0.500
```

- ρ: 13.848 g/cm³
- E_form: -943 meV per atom
- Volume: 18.23 Å³ per atom
- VASP energy: -59.02 eV/cell
- Space group: P4/mmm